No. 1
Material: YPt2AuCl
Method: DFT, PBE
State: relaxed

Output
* formation energy without anion corrections: 365 meV/atom
* crystal system: tetragonal
* magnetization: 0.000 μB/atom

abc: 5.226 5.226 4.999
angles: 90.00 90.00 90.00
Sites, in units of the cell vectors:
1 Y 0.000 0.000 0.000
2 Pt 0.000 0.500 0.000
3 Pt 0.500 0.000 0.000
4 Au 0.500 0.500 0.500
5 Cl 0.000 0.000 0.500



No. 2
Material: PuAu2Cl8
Method: DFT, PBE
State: relaxed

Output
* formation energy without anion corrections: -773 meV/atom
* crystal system: monoclinic
* magnetization: 0.179 μB/atom

abc: 7.759 7.759 7.167
angles: 92.23 92.23 61.15
Sites, in units of the cell vectors:
1 Pu 0.000 0.000 0.000
2 Au 0.221 0.221 0.751
3 Au 0.779 0.779 0.249
4 Cl 0.114 0.114 0.284
5 Cl 0.120 0.659 0.149
6 Cl 0.341 0.880 0.851
7 Cl 0.371 0.371 0.619
8 Cl 0.629 0.629 0.381
9 Cl 0.659 0.120 0.149
10 Cl 0.880 0.341 0.851
11 Cl 0.886 0.886 0.716



No. 3
Material: PuAuCl
Method: DFT, PBE
State: relaxed

Output
* formation energy without anion corrections: -550 meV/atom
* crystal system: monoclinic
* magnetization: 0.000 μB/atom

abc: 7.270 3.283 7.597
angles: 90.00 115.09 90.00
Sites, in units of the cell vectors:
1 Pu 0.121 0.250 0.074
2 Pu 0.879 0.750 0.926
3 Au 0.001 0.250 0.647
4 Au 0.999 0.750 0.353
5 Cl 0.436 0.750 0.224
6 Cl 0.564 0.250 0.776



Question: What is the magnetization in the third record?
Answer: 0.000 μB/atom



Question: Look up the formation energy without anion corrections of the second one.
Answer: -773 meV/atom